DFT (PBE-GGA) results for a geometry-optimized ZrMo2Br structure.

a b c (Å): 6.5779 6.5779 6.5779
angles (deg): 90.00 90.00 90.00
Space group Fm-3m (No. 225)
Symmetry-distinct sites (fractional):
1 Zr 0.0000 0.0000 0.0000 x4
2 Mo 0.2500 0.2500 0.2500 x8
3 Br 0.0000 0.0000 0.5000 x4

Values from the calculation:
ΔE_f (raw): 0.875 eV/atom

DFT (PBE-GGA) results for a geometry-optimized CeAsAu4 structure.

a b c (Å): 7.9659 7.9659 7.9659
angles (deg): 90.00 90.00 90.00
Space group F-43m (No. 216)
Symmetry-distinct sites (fractional):
1 Ce 0.0000 0.0000 0.0000 x4
2 As 0.2500 0.2500 0.7500 x4
3 Au 0.1248 0.1248 0.3752 x16

Values from the calculation:
DFT formation energy: -0.34 eV per atom

DFT (PBE-GGA) results for a geometry-optimized Al2ZnCd structure.

a b c (Å): 2.9320 2.9320 28.9270
angles (deg): 90.00 90.00 120.00
Space group R-3m (No. 166, hexagonal axes)
Symmetry-distinct sites (fractional):
1 Al 0.0000 0.0000 0.2437 x6
2 Zn 0.0000 0.0000 0.5000 x3
3 Cd 0.0000 0.0000 0.0000 x3

Values from the calculation:
DFT formation energy: 0.06 eV per atom

DFT (PBE-GGA) results for a geometry-optimized TbMgZrGa structure.

a b c (Å): 7.0726 7.0726 7.0726
angles (deg): 90.00 90.00 90.00
Space group F-43m (No. 216)
Symmetry-distinct sites (fractional):
1 Tb 0.0000 0.0000 0.0000 x4
2 Mg 0.2500 0.2500 0.7500 x4
3 Zr 0.0000 0.0000 0.5000 x4
4 Ga 0.2500 0.2500 0.2500 x4

Values from the calculation:
DFT formation energy: -0.23 eV per atom

DFT (PBE-GGA) results for a geometry-optimized La2ZnPt structure.

a b c (Å): 3.8199 4.6272 11.5004
angles (deg): 90.00 90.00 90.00
Space group Imm2 (No. 44)
Symmetry-distinct sites (fractional):
1 La 0.0000 0.0000 0.0000 x2
2 La 0.0000 0.5000 0.2172 x2
3 Zn 0.0000 0.5000 0.8021 x2
4 Pt 0.0000 0.0000 0.4730 x2

Values from the calculation:
DFT formation energy: -0.63 eV per atom

DFT (PBE-GGA) results for a geometry-optimized YCd5Au6 structure.

a b c (Å): 8.6928 13.9845 4.7688
angles (deg): 90.00 123.19 90.00
Space group C2/m (No. 12)
Symmetry-distinct sites (fractional):
1 Y 0.0000 0.0000 0.0000 x2
2 Cd 0.0000 0.1634 0.5000 x4
3 Cd 0.0000 0.3318 0.0000 x4
4 Cd 0.0000 0.5000 0.5000 x2
5 Au 0.2435 0.5000 0.2430 x4
6 Au 0.2446 0.3308 0.7421 x8

Values from the calculation:
DFT formation energy: -0.31 eV per atom

DFT (PBE-GGA) results for a geometry-optimized PuPaIr2 structure.

a b c (Å): 4.2408 13.7290 5.8976
angles (deg): 90.00 90.00 90.00
Space group Cmcm (No. 63)
Symmetry-distinct sites (fractional):
1 Pu 0.0000 0.0310 0.2500 x4
2 Pa 0.0000 0.2163 0.7500 x4
3 Ir 0.0000 0.3827 0.0120 x8

Values from the calculation:
DFT formation energy: -0.67 eV per atom

DFT (PBE-GGA) results for a geometry-optimized InHPd3 structure.

a b c (Å): 3.0852 3.0852 17.5045
angles (deg): 90.00 90.00 120.00
Space group P6_3/mmc (No. 194)
Symmetry-distinct sites (fractional):
1 In 0.0000 0.0000 0.0000 x2
2 H 0.3333 0.6667 0.2500 x2
3 Pd 0.0000 0.0000 0.2500 x2
4 Pd 0.3333 0.6667 0.1194 x4

Values from the calculation:
DFT total energy: -22.509 eV/f.u.

Spin magnetization? In order: 0.000; 0.156; 0.000; 0.000; 0.000; 0.000; 1.432; 0.000 μB/atom.